# 1
Material: TlSe2I2
Method: DFT, PBE
State: optimized geometry

a = 8.926 Å, b = 8.926 Å, c = 4.836 Å
α = 90.00°, β = 90.00°, γ = 90.00°
Space group P4/mbm (No. 127)
Unique sites:
1 Tl 0.000 0.000 0.000 x2
2 Se 0.087 0.413 0.000 x4
3 I 0.244 0.744 0.500 x4

crystal system: tetragonal
E: -2.486 eV/atom
calculated density: 5.3 g cm⁻³
raw formation energy: 0.00 eV/atom
offset from the most stable computed form: 0.056 eV per atom


# 2
Material: Ho2RuC2
Method: DFT, PBE
State: optimized geometry

a = 11.142 Å, b = 3.389 Å, c = 9.346 Å
α = 90.00°, β = 118.95°, γ = 90.00°
Space group C2/m (No. 12)
Unique sites:
1 Ho 0.024 0.000 0.176 x4
2 Ho 0.149 0.000 0.586 x4
3 Ru 0.221 0.500 0.879 x4
4 C 0.027 0.500 0.670 x4
5 C 0.166 0.500 0.084 x4

crystal system: monoclinic
E: -7.467 eV/atom
calculated density: 9.8 g cm⁻³
ΔE_f: -8.8 kJ/mol of atoms
offset from the most stable computed form: 0.256 eV per atom


# 3
Material: LaY
Method: DFT, PBE
State: optimized geometry

a = 5.913 Å, b = 3.755 Å, c = 6.326 Å
α = 90.00°, β = 90.00°, γ = 90.00°
Space group Pmma (No. 51)
Unique sites:
1 La 0.250 0.000 0.174 x2
2 Y 0.250 0.500 0.670 x2

crystal system: orthorhombic
E: -5.664 eV/atom
calculated density: 5.4 g cm⁻³
ΔE_f: 3.1 kJ/mol of atoms
offset from the most stable computed form: 0.028 eV per atom


# 4
Material: DyHoGa3
Method: DFT, PBE
State: optimized geometry

a = 4.161 Å, b = 25.556 Å, c = 4.161 Å
α = 90.00°, β = 90.00°, γ = 90.00°
Space group Cmcm (No. 63)
Unique sites:
1 Dy 0.000 0.073 0.250 x4
2 Ho 0.000 0.204 0.750 x4
3 Ga 0.000 0.324 0.750 x4
4 Ga 0.000 0.381 0.250 x4
5 Ga 0.000 0.476 0.250 x4

crystal system: orthorhombic
E: -4.288 eV/atom
calculated density: 8.1 g cm⁻³
ΔE_f: -61.3 kJ/mol of atoms


# 5
Material: SrAcZnNi
Method: DFT, PBE
State: optimized geometry

a = 7.558 Å, b = 7.558 Å, c = 7.558 Å
α = 90.00°, β = 90.00°, γ = 90.00°
Space group F-43m (No. 216)
Unique sites:
1 Sr 0.000 0.000 0.000 x4
2 Ac 0.000 0.000 0.500 x4
3 Zn 0.250 0.250 0.750 x4
4 Ni 0.250 0.250 0.250 x4

crystal system: cubic
E: -3.287 eV/atom
calculated density: 6.7 g cm⁻³
ΔE_f: -7.3 kJ/mol of atoms
offset from the most stable computed form: 0.132 eV per atom


# 6
Material: SrSi2Os
Method: DFT, PBE
State: optimized geometry

a = 4.157 Å, b = 4.157 Å, c = 8.537 Å
α = 90.00°, β = 90.00°, γ = 90.00°
Space group I-4m2 (No. 119)
Unique sites:
1 Sr 0.000 0.000 0.000 x2
2 Si 0.000 0.000 0.500 x2
3 Si 0.000 0.500 0.250 x2
4 Os 0.000 0.500 0.750 x2

crystal system: tetragonal
E: -5.240 eV/atom
calculated density: 7.5 g cm⁻³
raw formation energy: 0.70 eV/atom


# 7
Material: BeBiPtW2
Method: DFT, PBE
State: optimized geometry

a = 4.953 Å, b = 4.953 Å, c = 4.148 Å
α = 90.00°, β = 90.00°, γ = 90.00°
Space group P4/mmm (No. 123)
Unique sites:
1 Be 0.000 0.000 0.000 x1
2 Bi 0.500 0.500 0.000 x1
3 Pt 0.000 0.000 0.500 x1
4 W 0.000 0.500 0.500 x2

crystal system: tetragonal
E: -6.645 eV/atom
calculated density: 12.7 g cm⁻³
ΔE_f: 122.1 kJ/mol of atoms


# 8
Material: KCePtO4
Method: DFT, PBE
State: optimized geometry

a = 6.180 Å, b = 6.924 Å, c = 12.026 Å
α = 90.00°, β = 90.00°, γ = 90.00°
Space group Imma (No. 74)
Unique sites:
1 K 0.000 0.250 0.167 x4
2 Ce 0.000 0.000 0.500 x4
3 Pt 0.250 0.250 0.750 x4
4 O 0.000 0.074 0.714 x8
5 O 0.210 0.250 0.479 x8

crystal system: orthorhombic
E: -6.521 eV/atom
calculated density: 5.7 g cm⁻³
raw formation energy: -1.82 eV/atom


# 9
Material: Nd4MgGa12
Method: DFT, PBE
State: optimized geometry

a = 8.918 Å, b = 8.918 Å, c = 8.918 Å
α = 90.00°, β = 90.00°, γ = 90.00°
Space group Im-3m (No. 229)
Unique sites:
1 Nd 0.250 0.250 0.250 x8
2 Mg 0.000 0.000 0.000 x2
3 Ga 0.000 0.000 0.314 x12
4 Ga 0.000 0.250 0.500 x12

crystal system: cubic
E: -3.884 eV/atom
calculated density: 6.7 g cm⁻³
ΔE_f: -51.3 kJ/mol of atoms


# 10
Material: PmPr2P2N6
Method: DFT, PBE
State: optimized geometry

a = 5.8319 Å, b = 5.8319 Å, c = 6.1491 Å
α = 90.00°, β = 90.00°, γ = 120.00°
Space group P-3 (No. 147)
Unique sites:
1 Pm 0.0000 0.0000 0.0000 x1
2 Pr 0.3333 0.6667 0.3483 x2
3 P 0.3333 0.6667 0.8172 x2
4 N 0.0852 0.3777 0.7598 x6

crystal system: trigonal
E: -7.664 eV/atom
calculated density: 5.3 g cm⁻³
raw formation energy: -0.84 eV/atom


# 11
Material: InGa2Sn2
Method: DFT, PBE
State: optimized geometry

a = 7.034 Å, b = 4.061 Å, c = 9.149 Å
α = 90.00°, β = 105.06°, γ = 90.00°
Space group C2/m (No. 12)
Unique sites:
1 In 0.000 0.000 0.000 x2
2 Ga 0.189 0.000 0.570 x4
3 Sn 0.085 0.500 0.761 x4

crystal system: monoclinic
E: -3.287 eV/atom
calculated density: 6.5 g cm⁻³
ΔE_f: 7.0 kJ/mol of atoms
offset from the most stable computed form: 0.017 eV per atom


# 12
Material: Pr3Sm4Ru4
Method: DFT, PBE
State: optimized geometry

a = 3.796 Å, b = 9.109 Å, c = 16.257 Å
α = 90.00°, β = 90.00°, γ = 90.00°
Space group Immm (No. 71)
Unique sites:
1 Pr 0.000 0.000 0.000 x2
2 Pr 0.000 0.500 0.101 x4
3 Sm 0.000 0.311 0.334 x8
4 Ru 0.000 0.000 0.250 x4
5 Ru 0.000 0.228 0.500 x4

crystal system: orthorhombic
E: -6.528 eV/atom
calculated density: 8.4 g cm⁻³
ΔE_f: -13.1 kJ/mol of atoms


# 13
Material: InRu3
Method: DFT, PBE
State: optimized geometry

a = 6.300 Å, b = 6.300 Å, c = 6.300 Å
α = 90.00°, β = 90.00°, γ = 90.00°
Space group Fm-3m (No. 225)
Unique sites:
1 In 0.000 0.000 0.000 x4
2 Ru 0.000 0.000 0.500 x4
3 Ru 0.250 0.250 0.250 x8

crystal system: cubic
E: -7.271 eV/atom
calculated density: 11.1 g cm⁻³
ΔE_f: 35.7 kJ/mol of atoms


# 14
Material: TaHOs2Rh
Method: DFT, PBE
State: optimized geometry

a = 3.920 Å, b = 3.920 Å, c = 4.055 Å
α = 90.00°, β = 90.00°, γ = 90.00°
Space group P4/mmm (No. 123)
Unique sites:
1 Ta 0.000 0.000 0.000 x1
2 H 0.000 0.000 0.500 x1
3 Os 0.000 0.500 0.500 x2
4 Rh 0.500 0.500 0.000 x1

crystal system: tetragonal
E: -9.158 eV/atom
calculated density: 17.7 g cm⁻³
offset from the most stable computed form: 0.053 eV per atom


# 15
Material: CuTe2As
Method: DFT, PBE
State: optimized geometry

a = 7.664 Å, b = 7.658 Å, c = 4.487 Å
α = 90.00°, β = 110.94°, γ = 90.00°
Space group C2/m (No. 12)
Unique sites:
1 Cu 0.000 0.000 0.000 x2
2 Te 0.250 0.250 0.000 x4
3 As 0.000 0.500 0.000 x2

crystal system: monoclinic
E: -3.457 eV/atom
calculated density: 5.3 g cm⁻³
raw formation energy: 0.30 eV/atom


# 16
Material: ZnCd2Cu2Pt5
Method: DFT, PBE
State: optimized geometry

a = 9.101 Å, b = 9.101 Å, c = 3.928 Å
α = 90.00°, β = 90.00°, γ = 90.00°
Space group P4/mbm (No. 127)
Unique sites:
1 Zn 0.000 0.000 0.000 x2
2 Cd 0.171 0.329 0.000 x4
3 Cu 0.126 0.626 0.000 x4
4 Pt 0.000 0.500 0.500 x2
5 Pt 0.078 0.803 0.500 x8

crystal system: tetragonal
E: -4.377 eV/atom
calculated density: 14.2 g cm⁻³
ΔE_f: -21.9 kJ/mol of atoms


# 17
Material: CaBeCr2
Method: DFT, PBE
State: optimized geometry

a = 3.1963 Å, b = 3.1963 Å, c = 24.0855 Å
α = 90.00°, β = 90.00°, γ = 120.00°
Space group R-3m (No. 166, hexagonal axes)
Unique sites:
1 Ca 0.0000 0.0000 0.0000 x3
2 Be 0.0000 0.0000 0.5000 x3
3 Cr 0.0000 0.0000 0.2260 x6

crystal system: trigonal
E: -5.329 eV/atom
calculated density: 3.6 g cm⁻³
ΔE_f: 88.3 kJ/mol of atoms


# 18
Material: Ca8Al2Sb
Method: DFT, PBE
State: optimized geometry

a = 5.325 Å, b = 8.168 Å, c = 15.924 Å
α = 90.00°, β = 90.00°, γ = 90.00°
Space group Immm (No. 71)
Unique sites:
1 Ca 0.000 0.000 0.161 x4
2 Ca 0.000 0.221 0.344 x8
3 Ca 0.000 0.300 0.000 x4
4 Al 0.000 0.500 0.188 x4
5 Sb 0.000 0.500 0.500 x2

crystal system: orthorhombic
E: -2.760 eV/atom
calculated density: 2.4 g cm⁻³
raw formation energy: -0.25 eV/atom


# 19
Material: Ce2Sc3Sn4
Method: DFT, PBE
State: optimized geometry

a = 8.000 Å, b = 7.988 Å, c = 7.852 Å
α = 90.00°, β = 110.45°, γ = 90.00°
Space group P2_1/c (No. 14)
Unique sites:
1 Ce 0.189 0.173 0.059 x4
2 Sc 0.250 0.662 0.245 x4
3 Sc 0.500 0.000 0.500 x2
4 Sn 0.087 0.544 0.848 x4
5 Sn 0.496 0.137 0.860 x4

crystal system: monoclinic
E: -5.906 eV/atom
calculated density: 6.3 g cm⁻³
ΔE_f: -67.3 kJ/mol of atoms


# 20
Material: LiGeTeO5
Method: DFT, PBE
State: optimized geometry

a = 6.514 Å, b = 9.147 Å, c = 7.579 Å
α = 90.00°, β = 114.52°, γ = 90.00°
Space group C2/c (No. 15)
Unique sites:
1 Li 0.000 0.195 0.250 x4
2 Ge 0.000 0.194 0.750 x4
3 Te 0.000 0.500 0.000 x4
4 O 0.000 0.419 0.250 x4
5 O 0.145 0.305 0.642 x8
6 O 0.182 0.077 0.936 x8

crystal system: monoclinic
E: -5.693 eV/atom
calculated density: 4.6 g cm⁻³
raw formation energy: -1.38 eV/atom


V
In order: 385.3, 308.8, 140.5, 442.5, 431.8, 147.5, 101.8, 514.6, 709.4, 181.1, 252.3, 562.1, 250.1, 62.3, 246.0, 325.3, 213.1, 692.6, 470.1, 410.9
Unit: Å³/cell